1.
Material: K2SiPb
Method: DFT, PBE
State: relaxed

Unit cell a=11.964 b=11.964 c=11.964 alpha=16.99 beta=16.99 gamma=16.99
Element x y z (fractional)
K 0.243 0.243 0.243
K 0.757 0.757 0.757
Si 0.500 0.500 0.500
Pb 0.000 0.000 0.000

## Properties
uncorrected formation energy = 150.1 kJ/mol of formula units
space group = No. 166
Fermi-level density of states = 2.2 states/eV/cell
offset from the most stable computed form = 0.364 eV per atom

2.
Material: K2SiPb
Method: DFT, PBE
State: relaxed

Unit cell a=6.496 b=6.496 c=3.356 alpha=90.00 beta=90.00 gamma=119.48
Element x y z (fractional)
K 0.000 0.500 0.000
K 0.500 0.000 0.000
Si 0.000 0.000 0.500
Pb 0.500 0.500 0.500

## Properties
uncorrected formation energy = 118.8 kJ/mol of formula units
space group = No. 65
Fermi-level density of states = 3.0 states/eV/cell
offset from the most stable computed form = 0.283 eV per atom

3.
Material: K2Si2Pb
Method: DFT, PBE
State: relaxed

Unit cell a=7.396 b=7.396 c=5.562 alpha=90.00 beta=90.00 gamma=90.00
Element x y z (fractional)
K 0.187 0.313 0.000
K 0.313 0.813 0.000
K 0.687 0.187 0.000
K 0.813 0.687 0.000
Si 0.109 0.609 0.500
Si 0.391 0.109 0.500
Si 0.609 0.891 0.500
Si 0.891 0.391 0.500
Pb 0.000 0.000 0.500
Pb 0.500 0.500 0.500

## Properties
uncorrected formation energy = 61.2 kJ/mol of formula units
space group = No. 127
Fermi-level density of states = 3.7 states/eV/cell
offset from the most stable computed form = 0.000 eV per atom